Material: Na2UNiP2
Method: DFT, PBE-GGA
State: optimized geometry

a b c (Å): 4.1626 6.7791 8.0444
angles (deg): 90.00 90.00 90.00
Element x y z (fractional)
Ni  0.5000  0.1487  0.6640
P  0.0000  0.2460  0.7891
Ni  0.5000  0.6487  0.3360
U  0.0000  0.0106  0.4687
P  0.5000  0.2855  0.3887
U  0.0000  0.5106  0.5313
Na  0.5000  0.0067  0.0969
P  0.0000  0.7460  0.2109
Na  0.5000  0.5067  0.9031
Na  0.0000  0.3481  0.1383
P  0.5000  0.7855  0.6113
Na  0.0000  0.8481  0.8617

Space-group type: Pmc2_1 (26)
Raw total energy in eV/atom: -5.60
Energy of formation in meV/atom: -516
Volume in A^3/atom: 18.92
N(E_F) in states/eV per cell: 9.6